No. 1
SmScSn2, relaxed, DFT PBE; total DFT energy (no corrections) = -5.25 eV/atom; DFT formation energy = -0.4819 eV/atom; SG = R-3m (166)
1.0
3.698 0.000 0.000
1.849 3.202 0.000
1.849 1.067 9.151
Sn Sc Sm
2 1 1
Direct
0.255 0.255 0.234 Sn
0.745 0.745 0.766 Sn
0.000 0.000 0.000 Sc
0.500 0.500 0.500 Sm

---

No. 2
SmScSn2, relaxed, DFT PBE; total DFT energy (no corrections) = -5.35 eV/atom; DFT formation energy = -0.5873 eV/atom; SG = P4/mmm (123)
1.0
4.458 0.000 0.000
0.000 4.760 0.000
0.000 0.000 4.760
Sn Sc Sm
2 1 1
Direct
0.000 0.500 0.000 Sn
0.000 0.000 0.500 Sn
0.500 0.000 0.000 Sc
0.500 0.500 0.500 Sm

---

DFT formation energy of number 2 (SmScSn2)?
-0.5873 eV/atom

---

Which value of total DFT energy (no corrections) does entry 1 give?
-5.25 eV/atom

---

The highest total DFT energy (no corrections) belongs to which entry?
number 1

---

What did the first record say?
SmScSn2, relaxed, DFT PBE; total DFT energy (no corrections) = -5.25 eV/atom; DFT formation energy = -0.4819 eV/atom; SG = R-3m (166)
1.0
3.698 0.000 0.000
1.849 3.202 0.000
1.849 1.067 9.151
Sn Sc Sm
2 1 1
Direct
0.255 0.255 0.234 Sn
0.745 0.745 0.766 Sn
0.000 0.000 0.000 Sc
0.500 0.500 0.500 Sm